1.
Sc2AgIr: optimized geometry, PBE.

## Properties
Space-group type ... C2/m, No. 12
DOS(E_F) ... 0.688 states/eV per atom
Relative energy among the computed polymorphs ... 299 meV per atom
Energy ... -6.461 eV per atom
Energy of formation from the pure elements ... -0.3670 eV per atom

Cell: 3.8541 3.8541 7.0967 Å, 106.02 106.02 60.39°
Fractional positions:
Sc 0.2349 0.2349 0.2037
Sc 0.7651 0.7651 0.7963
Ag 0.0000 0.0000 0.5000
Ir 0.5000 0.5000 0.0000

=====

2.
BaCu3Au: optimized geometry, PBE.

## Properties
Space-group type ... Pm-3m, No. 221
DOS(E_F) ... 0.457 states/eV per atom
Relative energy among the computed polymorphs ... 1446 meV per atom
Energy ... -1.956 eV per atom
Energy of formation from the pure elements ... 1.5421 eV per atom

Cell: 5.5178 5.5178 5.5178 Å, 90.00 90.00 90.00°
Fractional positions:
Ba 0.0000 0.0000 0.0000
Cu 0.0000 0.0000 0.5000
Cu 0.0000 0.5000 0.0000
Cu 0.5000 0.0000 0.0000
Au 0.5000 0.5000 0.5000